First-principles (PBE+U) data for a relaxed U3Ni5O12 crystal, as listed in Alexandria.

```
80
Lattice="10.7717 0.0000 0.0000 -3.5906 10.1557 0.0000 -3.5906 -5.0778 8.7951" Properties=species:S:1:pos:R:3 pbc="T T T"
Ni -0.8976 2.5389 2.1988
Ni -1.7953 5.0778 0.0000
Ni 0.0000 0.0000 0.0000
Ni 2.6929 1.9042 1.0994
Ni 3.5906 -2.5389 4.3975
Ni 3.5906 5.0778 0.0000
Ni -2.6929 5.7126 3.2981
Ni 4.4882 -3.1736 7.6957
Ni 4.4882 4.4431 3.2981
Ni 0.8976 -2.5389 6.5963
Ni 2.6929 7.6167 2.1988
Ni 1.7953 2.5389 4.3975
Ni 5.3859 0.0000 0.0000
Ni -1.7953 -2.5389 4.3975
Ni -0.8976 0.6347 5.4969
Ni -0.8976 8.2515 1.0994
Ni -3.5906 2.5389 4.3975
Ni 6.2835 -0.6347 5.4969
Ni 0.8976 3.1736 7.6957
Ni 4.4882 2.5389 6.5963
U 6.2835 3.1736 1.0994
U 6.2835 6.9820 1.0994
U -0.8976 4.4431 5.4969
U 0.8976 -0.6347 3.2981
U 8.0788 0.0000 2.1988
U 0.8976 5.0778 2.1988
U 2.6929 0.0000 6.5963
U -4.4882 5.0778 6.5963
U 2.6929 5.7126 5.4969
U 4.4882 0.6347 3.2981
U -2.6929 -1.9042 7.6957
U -2.6929 1.9042 7.6957
O 7.0702 1.1690 0.3730
O 0.1109 3.4465 3.5716
O 7.9891 2.2510 2.4983
O 4.5779 1.5009 1.1989
O 1.2545 3.8508 5.9237
O 7.5593 5.1503 1.5262
O -0.8080 5.8280 3.6972
O -2.7826 8.6548 1.1989
O 0.5407 6.3048 5.9237
O 5.0077 5.0053 1.5262
O 5.4968 2.8004 3.1986
O 5.4968 8.9866 0.3730
O -3.0498 4.5166 4.7706
O 2.1734 3.7198 0.7003
O -3.7015 7.3553 3.1986
O 1.9062 -1.6313 5.2234
O -0.5407 0.6658 1.8993
O 2.1734 6.3633 0.8259
O 4.5779 7.9046 2.4983
O -0.3782 3.7924 0.8259
O -2.3360 5.7436 6.8958
O 2.6032 4.3277 3.6972
O 4.8451 5.6391 4.7706
O 3.9687 -1.3580 8.0948
O 0.9873 0.7502 5.0978
O -1.2545 -0.5612 4.0245
O -0.3782 6.4358 0.7003
O -0.9873 -2.8268 6.2968
O 5.9266 -0.6658 1.8993
O 3.9687 1.2855 7.9692
O 1.4171 -1.2855 7.9692
O 1.6843 6.7092 3.5716
O 4.1313 4.4121 6.8958
O 7.2921 -2.2775 5.5965
O 6.6404 0.5612 4.0245
O -1.9062 -3.9088 8.4220
O 1.4171 1.3580 8.0948
O 3.0498 -1.2270 2.8713
O -1.4171 0.0725 7.2689
O -1.9062 2.2775 5.5965
O 6.3732 -3.5770 7.5961
O 4.3985 -0.7502 5.0978
O -0.9873 3.5770 7.5961
O -3.9687 -0.0725 7.2689
O 2.3360 1.2270 2.8713
O -4.3985 2.8268 6.2968
O 3.4796 1.6313 5.2234
O -3.4796 3.9088 8.4220
```

Properties
space-group type = Ia-3d (230)
magnetic moment = 6.00 μB/f.u.
E_tot = -585.51 eV per cell